Record 1
First-principles (GGA-PBE) data for crystalline FeBr at its relaxed geometry, as listed in OQMD.

```
FeBr
1.0
4.019 0.000 0.000
-2.010 3.481 0.000
0.000 0.000 6.587
Fe Br
2 2
direct
0.333 0.667 0.000 Fe
0.667 0.333 0.500 Fe
0.333 0.667 0.624 Br
0.667 0.333 0.124 Br
```

## Properties
SG = P6_3mc, No. 186
VASP energy = -18.4 eV for the cell shown
Magnetization = 6.020 Bohr magnetons per cell

***

Record 2
First-principles (GGA-PBE) data for crystalline Fe2Br at its relaxed geometry, as listed in OQMD.

```
Fe2Br
1.0
0.000 3.690 3.690
3.690 0.000 3.690
3.690 3.690 0.000
Fe Br
4 2
direct
0.000 0.000 0.000 Fe
0.000 0.000 0.500 Fe
0.000 0.500 0.000 Fe
0.500 0.000 0.000 Fe
0.375 0.375 0.375 Br
0.625 0.625 0.625 Br
```

## Properties
SG = Fd-3m, No. 227
VASP energy = -32.5 eV for the cell shown
Magnetization = 13.610 Bohr magnetons per cell

***

Record 3
First-principles (GGA-PBE) data for crystalline FeBr at its relaxed geometry, as listed in OQMD.

```
FeBr
1.0
3.371 0.000 0.000
-1.685 2.919 0.000
0.000 0.000 3.753
Fe Br
1 1
direct
0.000 0.000 0.000 Fe
0.333 0.667 0.500 Br
```

## Properties
SG = P-6m2, No. 187
VASP energy = -9.0 eV for the cell shown
Magnetization = 3.009 Bohr magnetons per cell

***

Record 4
First-principles (GGA-PBE) data for crystalline FeBr2 at its relaxed geometry, as listed in OQMD.

```
FeBr2
1.0
3.731 0.000 0.000
-1.865 3.231 0.000
0.000 0.000 6.317
Fe Br
1 2
direct
0.000 0.000 0.000 Fe
0.333 0.667 0.236 Br
0.667 0.333 0.764 Br
```

## Properties
SG = P-3m1, No. 164
VASP energy = -12.9 eV for the cell shown
Magnetization = 4.001 Bohr magnetons per cell

***

Record 5
First-principles (GGA-PBE) data for crystalline FeBr at its relaxed geometry, as listed in OQMD.

```
FeBr
1.0
3.940 0.000 0.000
0.000 3.476 0.000
0.000 0.000 6.031
Fe Br
2 2
direct
0.250 0.000 0.111 Fe
0.750 0.000 0.889 Fe
0.250 0.500 0.750 Br
0.750 0.500 0.250 Br
```

## Properties
SG = Pmma, No. 51
VASP energy = -18.6 eV for the cell shown
Magnetization = 6.037 Bohr magnetons per cell

***

Record 6
First-principles (GGA-PBE) data for crystalline FeBr2 at its relaxed geometry, as listed in OQMD.

```
FeBr2
1.0
6.204 0.000 0.000
0.000 6.204 0.000
0.000 0.000 3.894
Fe Br
2 4
direct
0.000 0.000 0.000 Fe
0.500 0.500 0.500 Fe
0.195 0.195 0.500 Br
0.305 0.695 0.000 Br
0.695 0.305 0.000 Br
0.805 0.805 0.500 Br
```

## Properties
SG = P4_2/mnm, No. 136
VASP energy = -25.3 eV for the cell shown
Magnetization = 7.999 Bohr magnetons per cell

***

Record 7
First-principles (GGA-PBE) data for crystalline FeBr6 at its relaxed geometry, as listed in OQMD.

```
FeBr6
1.0
3.149 1.818 5.727
-3.149 1.818 5.727
0.000 -3.636 5.727
Fe Br
1 6
direct
0.000 0.000 0.000 Fe
0.085 0.389 0.767 Br
0.233 0.915 0.611 Br
0.389 0.767 0.085 Br
0.611 0.233 0.915 Br
0.767 0.085 0.389 Br
0.915 0.611 0.233 Br
```

## Properties
SG = R-3, No. 148
VASP energy = -18.6 eV for the cell shown
Magnetization = 3.909 Bohr magnetons per cell

***

Record 8
First-principles (GGA-PBE) data for crystalline FeBr at its relaxed geometry, as listed in OQMD.

```
FeBr
1.0
5.366 0.000 0.000
0.000 5.366 0.000
0.000 0.000 5.366
Fe Br
4 4
direct
0.000 0.000 0.000 Fe
0.000 0.500 0.500 Fe
0.500 0.000 0.500 Fe
0.500 0.500 0.000 Fe
0.000 0.000 0.500 Br
0.000 0.500 0.000 Br
0.500 0.000 0.000 Br
0.500 0.500 0.500 Br
```

## Properties
SG = Fm-3m, No. 225
VASP energy = -35.6 eV for the cell shown
Magnetization = 12.231 Bohr magnetons per cell